Entry 1:
Here is a geometry-optimized TmRh3 structure from Alexandria. Energies are from PBE.

Cell: 4.051 4.051 7.963 Å, 90.00 90.00 90.00°
Atoms (fractional coordinates):
Tm1 0.000 0.000 0.000
Tm2 0.500 0.500 0.500
Rh1 0.000 0.000 0.500
Rh2 0.000 0.500 0.250
Rh3 0.000 0.500 0.750
Rh4 0.500 0.000 0.250
Rh5 0.500 0.000 0.750
Rh6 0.500 0.500 0.000

Summary:
- space group = I4/mmm, No. 139
- DFT formation energy (eV/atom) = -0.486
- E_tot (eV for the cell shown) = -56.9

***

Entry 2:
Here is a geometry-optimized TmRh6 structure from Alexandria. Energies are from PBE.

Cell: 6.721 6.721 6.721 Å, 90.00 90.00 90.00°
Atoms (fractional coordinates):
Tm1 0.000 0.000 0.000
Tm2 0.500 0.500 0.500
Rh1 0.000 0.250 0.500
Rh2 0.000 0.500 0.250
Rh3 0.000 0.500 0.750
Rh4 0.000 0.750 0.500
Rh5 0.250 0.000 0.500
Rh6 0.250 0.500 0.000
Rh7 0.500 0.000 0.250
Rh8 0.500 0.000 0.750
Rh9 0.500 0.250 0.000
Rh10 0.500 0.750 0.000
Rh11 0.750 0.000 0.500
Rh12 0.750 0.500 0.000

Summary:
- space group = Im-3m, No. 229
- DFT formation energy (eV/atom) = 0.525
- E_tot (eV for the cell shown) = -89.8

***

Entry 3:
Here is a geometry-optimized Tm4Rh structure from Alexandria. Energies are from PBE.

Cell: 7.153 7.144 8.516 Å, 53.49 53.40 73.11°
Atoms (fractional coordinates):
Tm1 0.032 0.968 0.199
Tm2 0.051 0.449 0.218
Tm3 0.126 0.524 0.707
Tm4 0.449 0.051 0.282
Tm5 0.524 0.126 0.643
Tm6 0.543 0.607 0.124
Tm7 0.607 0.543 0.726
Tm8 0.968 0.032 0.801
Rh1 0.663 0.663 0.337
Rh2 0.913 0.913 0.587

Summary:
- space group = Fdd2, No. 43
- DFT formation energy (eV/atom) = -0.378
- E_tot (eV for the cell shown) = -54.3
- excess energy over the best structure of this formula in the dataset (eV/atom) = 0.0000

***

Entry 4:
Here is a geometry-optimized Tm3Rh4 structure from Alexandria. Energies are from PBE.

Cell: 8.060 8.060 8.060 Å, 33.19 33.19 33.19°
Atoms (fractional coordinates):
Tm1 0.000 0.000 0.000
Tm2 0.240 0.240 0.240
Tm3 0.760 0.760 0.760
Rh1 0.121 0.121 0.121
Rh2 0.375 0.375 0.375
Rh3 0.625 0.625 0.625
Rh4 0.879 0.879 0.879

Summary:
- space group = R-3m, No. 166
- DFT formation energy (eV/atom) = -0.623
- E_tot (eV for the cell shown) = -47.2